Computed, not measured: an optimized crystal structure of ZnGa2RePt at the PBE level of DFT.

Output
Crystal system ... tetragonal
Energy of formation from the pure elements ... 113.4 kJ per mole of atoms

a = 4.4538 Å, b = 4.7318 Å, c = 4.4538 Å
α = 90.00°, β = 90.00°, γ = 90.00°
Fractional coordinates of all 5 atoms:
Ga (0.0000, 0.0000, 0.5000)
Ga (0.5000, 0.0000, 0.0000)
Zn (0.0000, 0.0000, 0.0000)
Re (0.0000, 0.5000, 0.0000)
Pt (0.5000, 0.5000, 0.5000)